Here is crystalline RbCdSbH at its relaxed geometry from the Alexandria database. Energies are from PBE.

Computed properties:
total DFT energy (no corrections): -39.816 eV per cell
calculated volume: 422 Å³/cell
crystal system: orthorhombic

Cell lengths 5.346, 5.582, 14.139 Å; angles 90.00, 90.00, 90.00 degrees
Fractional coordinates of all 16 atoms:
Rb 0.000 0.000 0.000
Rb 0.000 0.500 0.500
Rb 0.500 0.000 0.500
Rb 0.500 0.500 0.000
Cd 0.000 0.000 0.705
Cd 0.000 0.500 0.205
Cd 0.500 0.000 0.205
Cd 0.500 0.500 0.705
Sb 0.000 0.000 0.299
Sb 0.000 0.500 0.799
Sb 0.500 0.000 0.799
Sb 0.500 0.500 0.299
H 0.000 0.000 0.575
H 0.000 0.500 0.075
H 0.500 0.000 0.075
H 0.500 0.500 0.575